Computed, not measured: a relaxed Nb3PdCl crystal at the PBE level of DFT.

Total magnetic moment ... 0.00 μB/cell
Final energy ... -6.070 eV/atom
Formation energy from raw total energies ... 1.379 eV/atom
Theoretical density ... 5.8 g/cm³

Cell and atoms, written as CIF:
```
data_Nb3PdCl
_cell_length_a 4.930
_cell_length_b 4.930
_cell_length_c 4.930
_cell_angle_alpha 90.00
_cell_angle_beta 90.00
_cell_angle_gamma 90.00
_space_group_name_H-M_alt 'P m -3 m'
_space_group_IT_number 221
_space_group_name_Hall '-P 4 2 3'
loop_
_atom_site_label
_atom_site_type_symbol
_atom_site_fract_x
_atom_site_fract_y
_atom_site_fract_z
Nb1 Nb 0.000 0.000 0.500
Pd1 Pd 0.000 0.000 0.000
Cl1 Cl 0.500 0.500 0.500
```